K12Mg3F5 after structural relaxation, computed with PBE.

## Properties
The calculation puts the volume at 3097.0 Å³/cell. The magnetization comes out at 0.00 μB/cell. The density of states at the Fermi level comes out at 11.6 states/eV/f.u. The raw formation energy comes out at -1.16 eV/atom. The total energy is -201.805 eV per cell.

```
80
Lattice="-9.1825 9.1825 9.1825 9.1825 -9.1825 9.1825 9.1825 9.1825 -9.1825" Properties=species:S:1:pos:R:3 pbc="T T T"
K 2.6775 -0.7413 0.7484
K 11.0963 5.3396 -5.3325
K -1.9138 3.8429 14.5150
K 6.5050 9.9238 8.4342
K 11.8600 0.7413 0.7484
K 11.0963 -3.8429 5.3325
K 0.7484 2.6775 -0.7413
K 14.5150 -1.9138 3.8429
K 8.4412 -0.7484 2.6775
K 13.0254 3.8500 -1.9138
K 5.3396 5.3325 -1.9138
K 8.4342 2.6775 0.7413
K -0.7413 0.7484 2.6775
K 5.3325 -1.9138 5.3396
K 8.4412 8.4342 -2.6775
K 5.3325 1.9138 3.8429
K 5.3396 -5.3325 11.0963
K 8.4342 -2.6775 8.4412
K 5.3325 11.0963 -3.8429
K 3.8429 5.3325 1.9138
K 9.9309 6.5050 0.7413
K 8.4412 0.7484 6.5050
K 2.6775 8.4412 -0.7484
K 11.0963 3.8429 3.8500
K 1.9138 3.8429 5.3325
K 6.5050 8.4412 0.7484
K 2.6775 0.7413 8.4342
K 7.2688 5.3396 3.8500
K -1.9138 5.3396 5.3325
K 6.5050 0.7413 9.9309
K 0.7413 8.4342 2.6775
K -0.7484 2.6775 8.4412
K 5.3396 3.8500 7.2688
K 3.8500 -1.9138 13.0254
K 0.7484 11.8600 0.7413
K 3.8429 14.5150 -1.9138
K 3.8500 7.2688 5.3396
K 0.7413 0.7484 11.8600
K 3.8500 11.0963 3.8429
K 9.9238 8.4342 6.5050
K 0.7484 6.5050 8.4412
K 3.8429 3.8500 11.0963
K -5.3325 11.0963 5.3396
K 8.4342 6.5050 9.9238
K -3.8429 5.3325 11.0963
K 0.7413 9.9309 6.5050
K -1.9138 13.0254 3.8500
K -2.6775 8.4412 8.4342
Mg 4.5913 2.2956 0.0000
Mg 9.1825 4.5913 -2.2956
Mg 2.2956 0.0000 4.5913
Mg 11.4781 0.0000 4.5913
Mg 0.0000 4.5913 2.2956
Mg 4.5913 -2.2956 9.1825
Mg 4.5913 11.4781 0.0000
Mg 9.1825 4.5913 6.8869
Mg -2.2956 9.1825 4.5913
Mg 6.8869 9.1825 4.5913
Mg 0.0000 4.5913 11.4781
Mg 4.5913 6.8869 9.1825
F 0.0000 0.0000 0.0000
F 4.5913 4.5913 -4.5913
F 4.5913 -4.5913 4.5913
F 9.1825 0.0000 0.0000
F 13.7738 2.2956 0.0000
F 9.1825 -4.5913 6.8869
F 6.8869 9.1825 -4.5913
F 6.8869 0.0000 4.5913
F 4.5913 6.8869 0.0000
F 9.1825 4.5913 2.2956
F -4.5913 4.5913 4.5913
F 0.0000 9.1825 0.0000
F 0.0000 0.0000 9.1825
F 4.5913 4.5913 4.5913
F 0.0000 4.5913 6.8869
F 4.5913 2.2956 9.1825
F 2.2956 9.1825 4.5913
F 2.2956 0.0000 13.7738
F 0.0000 13.7738 2.2956
F -4.5913 6.8869 9.1825
```


Sr2SO after structural relaxation, computed with PBE.

## Properties
The calculation puts the volume at 269.7 Å³/cell. The magnetization comes out at 0.00 μB/cell. Its polymorph energy (0 for the lowest one) is 147 meV per atom. The density of states at the Fermi level comes out at 0.0 states/eV/f.u. The raw formation energy comes out at -2.19 eV/atom. The total energy is -63.657 eV per cell.

```
12
Lattice="3.8683 0.0000 0.0000 -1.9342 3.3501 0.0000 0.0000 0.0000 20.8103" Properties=species:S:1:pos:R:3 pbc="T T T"
Sr 0.0000 0.0000 0.0000
Sr 0.0000 0.0000 3.1473
Sr 0.0000 2.2334 13.8735
Sr 0.0000 2.2334 17.0208
Sr 1.9342 1.1167 6.9367
Sr 1.9342 1.1167 10.0841
S 0.0000 0.0000 11.9790
S 0.0000 2.2334 5.0423
S 1.9342 1.1167 18.9158
O 0.0000 0.0000 8.4660
O 0.0000 2.2334 1.5292
O 1.9342 1.1167 15.4027
```


SnAsCl after structural relaxation, computed with PBE.

## Properties
The calculation puts the volume at 67.2 Å³/cell. The magnetization comes out at 0.00 μB/cell. Its polymorph energy (0 for the lowest one) is 449 meV per atom. The density of states at the Fermi level comes out at 2.2 states/eV/f.u. The raw formation energy comes out at -0.01 eV/atom. The total energy is -10.541 eV per cell.

```
3
Lattice="4.9323 0.0000 0.0000 -2.4661 4.2715 0.0000 0.0000 0.0000 3.1917" Properties=species:S:1:pos:R:3 pbc="T T T"
Sn 0.0000 0.0000 0.0000
As 2.4661 1.4238 3.1460
Cl 0.0000 2.8476 1.5786
```


AgMo2As2 after structural relaxation, computed with PBE.

## Properties
The calculation puts the volume at 166.9 Å³/cell. The magnetization comes out at 0.00 μB/cell. The calculated formation energy is 7 kJ per mole of atoms. The density of states at the Fermi level comes out at 3.8 states/eV/f.u. The total energy is -66.878 eV per cell.

```
10
Lattice="7.2346 0.0000 0.0000 0.0000 7.2346 0.0000 0.0000 0.0000 3.1884" Properties=species:S:1:pos:R:3 pbc="T T T"
Ag 0.0000 0.0000 0.0000
Ag 3.6173 3.6173 0.0000
Mo 1.0084 2.6089 0.0000
Mo 2.6089 6.2263 0.0000
Mo 4.6257 1.0084 0.0000
Mo 6.2263 4.6257 0.0000
As 1.1007 4.7180 1.5942
As 2.5166 1.1007 1.5942
As 4.7180 6.1339 1.5942
As 6.1339 2.5166 1.5942
```


Dy2Zn2HgPd5 after structural relaxation, computed with PBE.

## Properties
The calculation puts the volume at 361.4 Å³/cell. The magnetization comes out at 0.00 μB/cell. The calculated formation energy is -63 kJ per mole of atoms. The density of states at the Fermi level comes out at 2.8 states/eV/f.u. The total energy is -89.112 eV per cell.

```
20
Lattice="9.6925 0.0000 0.0000 0.0000 9.6925 0.0000 0.0000 0.0000 3.8466" Properties=species:S:1:pos:R:3 pbc="T T T"
Dy 1.7247 3.1215 0.0000
Dy 3.1215 7.9678 0.0000
Dy 6.5710 1.7247 0.0000
Dy 7.9678 6.5710 0.0000
Zn 1.1489 5.9952 0.0000
Zn 3.6973 1.1489 0.0000
Zn 5.9952 8.5436 0.0000
Zn 8.5436 3.6973 0.0000
Hg 0.0000 0.0000 0.0000
Hg 4.8463 4.8463 0.0000
Pd 0.0000 4.8463 1.9233
Pd 0.6865 7.6789 1.9233
Pd 2.0136 0.6865 1.9233
Pd 2.8326 5.5327 1.9233
Pd 4.1598 2.8326 1.9233
Pd 4.8463 0.0000 1.9233
Pd 5.5327 6.8599 1.9233
Pd 6.8599 4.1598 1.9233
Pd 7.6789 9.0060 1.9233
Pd 9.0060 2.0136 1.9233
```


LiHg2Cl after structural relaxation, computed with PBE.

## Properties
The calculation puts the volume at 233.1 Å³/cell. The magnetization comes out at 0.00 μB/cell. Its polymorph energy (0 for the lowest one) is 123 meV per atom. The density of states at the Fermi level comes out at 0.0 states/eV/f.u. The raw formation energy comes out at -0.71 eV/atom. The total energy is -14.392 eV per cell.

```
8
Lattice="3.7288 0.0000 0.0000 0.0000 6.4311 0.0000 0.0000 0.0000 9.7198" Properties=species:S:1:pos:R:3 pbc="T T T"
Li 0.0000 0.0000 0.0000
Li 1.8644 3.2156 4.8599
Hg 0.0000 0.0000 4.3257
Hg 0.0000 3.2156 2.3069
Hg 1.8644 0.0000 7.1668
Hg 1.8644 3.2156 9.1856
Cl 0.0000 3.2156 6.1116
Cl 1.8644 0.0000 1.2517
```


Nd6Sn3O after structural relaxation, computed with PBE.

## Properties
The calculation puts the volume at 581.8 Å³/cell. The magnetization comes out at 0.00 μB/cell. The density of states at the Fermi level comes out at 9.4 states/eV/f.u. The raw formation energy comes out at -0.96 eV/atom. The total energy is -110.378 eV per cell.

```
20
Lattice="6.5509 0.0000 0.0000 0.0000 8.3934 0.0000 -5.9988 0.0000 10.5815" Properties=species:S:1:pos:R:3 pbc="T T T"
Nd -0.7707 0.4150 2.4353
Nd -3.7701 3.7817 7.7261
Nd 0.8062 6.0552 0.5600
Nd -2.1932 6.5349 5.8508
Nd 2.2382 1.2465 0.4881
Nd -0.7612 2.9502 5.7788
Nd 1.3133 5.4432 4.8027
Nd -1.6861 7.1469 10.0935
Nd 2.7453 1.8585 4.7307
Nd -0.2541 2.3382 10.0215
Nd 4.3222 4.6117 2.8554
Nd 1.3228 7.9784 8.1462
Sn -2.2578 0.8814 7.8055
Sn 0.7416 3.3153 2.5147
Sn 0.2761 0.0000 5.2908
Sn 3.2755 4.1967 0.0000
Sn -0.1895 5.0781 8.0668
Sn 2.8099 7.5120 2.7760
O 0.0000 0.0000 0.0000
O -2.9994 4.1967 5.2908
```


LaPm4SmDy2 after structural relaxation, computed with PBE.

## Properties
The calculation puts the volume at 271.6 Å³/cell. The magnetization comes out at 0.00 μB/cell. The calculated formation energy is 2 kJ per mole of atoms. The density of states at the Fermi level comes out at 12.1 states/eV/f.u. The total energy is -37.707 eV per cell.

```
8
Lattice="6.2688 0.0000 0.0000 0.0000 3.6438 0.0000 -2.1375 0.0000 11.8917" Properties=species:S:1:pos:R:3 pbc="T T T"
La 0.0000 0.0000 0.0000
Pm -0.0259 0.0000 8.9102
Pm 1.0304 1.8219 3.0111
Pm 4.1571 0.0000 2.9814
Pm 3.1009 1.8219 8.8806
Sm -1.0687 1.8219 5.9458
Dy 2.0656 0.0000 5.9458
Dy 3.1344 1.8219 0.0000
```